Model A:
{"formula": "ScSiPb", "functional": "PBE", "state": "optimized geometry", "cell": [[0.000, 3.356, 3.356], [3.356, 0.000, 3.356], [3.356, 3.356, 0.000]], "species": ["Sc", "Si", "Pb"], "frac_coords": [[0.000, 0.000, 0.000], [0.250, 0.250, 0.250], [0.750, 0.750, 0.750]], "magnetic_moment_mub_per_atom": 0.000, "n_ef_per_ev_fu": 1.57}

Model B:
{"formula": "ScSiPb", "functional": "PBE", "state": "optimized geometry", "cell": [[0.000, 3.373, 3.373], [3.373, 0.000, 3.373], [3.373, 3.373, 0.000]], "species": ["Sc", "Si", "Pb"], "frac_coords": [[0.000, 0.000, 0.000], [0.750, 0.750, 0.750], [0.500, 0.500, 0.500]], "magnetic_moment_mub_per_atom": 0.000, "n_ef_per_ev_fu": 4.71}

Model C:
{"formula": "ScSiPb", "functional": "PBE", "state": "optimized geometry", "cell": [[4.344, 0.000, 0.000], [-2.172, 3.762, 0.000], [0.000, 0.000, 4.455]], "species": ["Sc", "Si", "Pb"], "frac_coords": [[0.000, 0.000, 0.000], [0.333, 0.667, 0.206], [0.667, 0.333, 0.542]], "magnetic_moment_mub_per_atom": 0.000, "n_ef_per_ev_fu": 3.22}

Winner for stability: model C